Entry from the Alexandria database: a relaxed TaCr3F crystal (PBEsol).

abc: 4.7315 4.7315 4.7315
angles: 90.00 90.00 90.00
Fractional coordinates of all 5 atoms:
Ta: 0.0000 0.0000 0.0000
Cr: 0.0000 0.0000 0.5000
Cr: 0.0000 0.5000 0.0000
Cr: 0.5000 0.0000 0.0000
F: 0.5000 0.5000 0.5000

## Properties
- Raw total energy: -36.622 eV/cell
- Size of the total moment: 10.33 μB per formula unit
- Distance to the lowest polymorph of the same formula: 1371 meV per atom
- E_form (uncorrected): 1.72 eV per atom
- Space group: Pm-3m
- Density of states at the Fermi level: 6.455 states/eV per cell